Entry 1:
Material: Tl2CuTe
Method: DFT, PBE
State: optimized geometry

Lattice parameters (Å, degrees): 4.2525 6.4710 8.7177 90.00 90.00 90.00
Last column: nearest neighbours and their distance in Å.
Space group Imm2 (No. 44)
Asymmetric unit:
1 Tl 0.0000 0.0000 0.0000  2 Cu 2.86
2 Tl 0.0000 0.5000 0.2022  4 Tl 3.36-3.68, 4 Te 3.52-3.59
3 Cu 0.0000 0.5000 0.7190  2 Te 2.55
4 Te 0.0000 0.0000 0.3801  2 Cu 2.55

Electronic total energy ... -11.82 eV/f.u.
Density ... 8.31 g cm⁻³

Entry 2:
Material: TlCu2Te
Method: DFT, PBE
State: optimized geometry

Lattice parameters (Å, degrees): 3.8046 3.9190 5.7893 90.00 90.00 90.00
Last column: nearest neighbours and their distance in Å.
Space group Pmmm (No. 47)
Asymmetric unit:
1 Tl 0.0000 0.0000 0.0000  4 Cu 2.73
2 Cu 0.5000 0.0000 0.5000  4 Te 2.73
3 Cu 0.5000 0.5000 0.0000  4 Tl 2.73
4 Te 0.0000 0.5000 0.5000  4 Cu 2.73

Electronic total energy ... -12.57 eV/f.u.
Density ... 8.83 g cm⁻³

Entry 3:
Material: Tl5Cu2Te4
Method: DFT, PBE
State: optimized geometry

Lattice parameters (Å, degrees): 19.2305 4.2079 9.9238 90.00 94.68 90.00
Last column: nearest neighbours and their distance in Å.
Space group C2/m (No. 12)
Asymmetric unit:
1 Tl 0.0000 0.0000 0.0000  2 Cu 3.32, 4 Te 3.48
2 Tl 0.1428 0.5000 0.5076  2 Cu 3.25, 4 Te 3.40-3.58
3 Tl 0.1579 0.5000 0.9534  3 Te 3.25-3.50, 2 Cu 3.31
4 Cu 0.0872 0.0000 0.7245  3 Te 2.54-2.57
5 Te 0.0102 0.5000 0.7229  2 Cu 2.57
6 Te 0.2197 0.0000 0.7437  1 Cu 2.54

Electronic total energy ... -34.41 eV/f.u.
Density ... 6.89 g cm⁻³

Entry 4:
Material: TlCuTe
Method: DFT, PBE
State: optimized geometry

Lattice parameters (Å, degrees): 3.7743 3.7743 12.1422 90.00 90.00 90.00
Last column: nearest neighbours and their distance in Å.
Space group I4mm (No. 107)
Asymmetric unit:
1 Tl 0.0000 0.0000 0.0000  1 Cu 2.96
2 Cu 0.0000 0.0000 0.7566  4 Te 2.69, 1 Tl 2.96
3 Te 0.0000 0.0000 0.2839  4 Cu 2.69

Electronic total energy ... -9.37 eV/f.u.
Density ... 7.59 g cm⁻³

Number 1: spin magnetization 0.000 μB per cell. Number 2: spin magnetization 0.000 μB per cell. Number 3: spin magnetization 0.000 μB per cell. Number 4: spin magnetization 0.000 μB per cell.